The following is a GGA-PBE calculation of a relaxed structure of Pm6Ni2Os, from the Alexandria database.

Lattice parameters (Å, degrees): 8.426 8.426 8.426 108.85 108.13 111.45
Positions (direct):
Pm 0.179 0.262 0.441
Pm 0.688 0.021 0.333
Pm 0.312 0.979 0.667
Pm 0.821 0.738 0.559
Pm 0.688 0.355 0.667
Pm 0.312 0.645 0.333
Pm 0.089 0.260 0.829
Pm 0.911 0.740 0.171
Pm 0.431 0.260 0.171
Pm 0.179 0.738 0.917
Pm 0.569 0.740 0.829
Pm 0.821 0.262 0.083
Ni 0.500 0.617 0.117
Ni 0.679 0.000 0.679
Ni 0.321 0.000 0.321
Ni 0.500 0.383 0.883
Os 0.000 0.500 0.500
Os 0.000 0.000 0.000

DOS(E_F): 17.4 states/eV per cell
VASP energy: -105.5 eV/cell
Formation energy: -162 meV/atom
M_tot: 0.00 μB per formula unit